Record 1
VASP calculation (PBE) on an optimized crystal structure of ZrHIr3.

The space group is P1 (No. 1) and the conventional cell measures 3.996, 5.731 and 5.733 Å, with angles of 91.22, 90.02 and 90.03 degrees. The asymmetric unit holds Zr at (0.000, 0.000, 0.000), Zr at (0.000, 0.482, 0.524), H at (0.521, 0.005, 0.465), H at (0.962, 0.716, 0.238), Ir at (0.001, 0.489, 0.009), Ir at (0.001, 0.988, 0.514), Ir at (0.496, 0.737, 0.260), Ir at (0.498, 0.243, 0.765), Ir at (0.498, 0.246, 0.257) and Ir at (0.499, 0.738, 0.764).

Its density of states at the Fermi level is 0.27 states/eV/atom. The calculation puts the volume at 131.2 Å³ per cell. The calculation puts the energy above the most stable polymorph in this dataset at 4 meV per atom.

Record 2
VASP calculation (PBE) on an optimized crystal structure of ZrHIr3.

The space group is Amm2 (No. 38) and the conventional cell measures 4.138, 5.644 and 5.630 Å, with angles of 90.00, 90.00 and 90.00 degrees. The asymmetric unit holds Zr at (0.000, 0.000, 0.000), H at (0.500, 0.000, 0.939), Ir at (0.000, 0.000, 0.496) and Ir at (0.500, 0.245, 0.247).

Its density of states at the Fermi level is 0.31 states/eV/atom. The calculation puts the volume at 131.5 Å³ per cell. The calculation puts the energy above the most stable polymorph in this dataset at 34 meV per atom.

Record 3
VASP calculation (PBE) on an optimized crystal structure of ZrHIr3.

The space group is Cmcm (No. 63) and the conventional cell measures 5.261, 13.822 and 4.949 Å, with angles of 90.00, 90.00 and 90.00 degrees. The asymmetric unit holds Zr at (0.000, 0.186, 0.250), H at (0.000, 0.448, 0.250), Ir at (0.000, 0.000, 0.000) and Ir at (0.242, 0.363, 0.250).

Its density of states at the Fermi level is 0.66 states/eV/atom. The calculation puts the volume at 359.9 Å³ per cell. The calculation puts the energy above the most stable polymorph in this dataset at 670 meV per atom.